DFT (PBEsol) results for Ni2OsRu after structural relaxation.

Results
Magnetization, μB per formula unit: 0.0
DOS at the Fermi energy, states/eV/cell: 4.63
Total DFT energy (no corrections), eV for the cell shown: -33.50
Crystal system: cubic
E_form, meV per atom: 302

a b c (Å): 4.0825 4.0825 4.0825
angles (deg): 60.00 60.00 60.00
Element x y z (fractional)
Ni 0.7500 0.7500 0.7500
Ni 0.2500 0.2500 0.2500
Os 0.0000 0.0000 0.0000
Ru 0.5000 0.5000 0.5000